PBE Zr2ZnAg, optimized geometry; uncorrected energy = -0.1991 hartree per atom; Fermi-level density of states = 3.58 states/eV/cell; DFT formation energy = -111.2 meV/atom
1.0
-2.256 -1.255 4.506
3.637 -0.448 3.680
-1.001 3.803 -3.422
Zn Ag Zr
1 1 2
Direct
0.250 0.750 0.500
0.750 0.250 0.500
0.000 0.000 0.000
0.500 0.500 0.000


PBE ZrZnAg2, optimized geometry; uncorrected energy = -0.1458 hartree per atom; Fermi-level density of states = 1.72 states/eV/cell; DFT formation energy = -85.0 meV/atom
1.0
4.676 0.000 -0.006
0.044 4.676 0.002
-2.358 -2.343 3.292
Ag Zr Zn
2 1 1
Direct
0.750 0.250 0.500
0.000 0.000 0.000
0.250 0.750 0.500
0.500 0.500 0.000


PBE ZrZnAg2, optimized geometry; uncorrected energy = -0.1389 hartree per atom; Fermi-level density of states = 1.79 states/eV/cell; DFT formation energy = 102.5 meV/atom
1.0
4.932 0.480 0.000
-0.935 4.867 0.000
0.000 0.000 3.066
Ag Zr Zn
2 1 1
Direct
0.500 0.500 0.000
0.000 0.000 0.000
0.000 0.500 0.500
0.500 0.000 0.500


PBE Zr2ZnAg, optimized geometry; uncorrected energy = -0.1991 hartree per atom; Fermi-level density of states = 3.58 states/eV/cell; DFT formation energy = -112.5 meV/atom
1.0
-3.468 1.898 3.150
2.182 -4.007 2.177
2.238 1.927 1.304
Ag Zr Zn
1 2 1
Direct
0.500 0.000 0.500
0.000 0.000 0.000
0.500 0.500 0.000
0.000 0.500 0.500


PBE ZrZn2Ag2, optimized geometry; uncorrected energy = -0.1233 hartree per atom; ΔE to the lowest computed polymorph = 0.73 kcal/mol of atoms; Fermi-level density of states = 3.52 states/eV/cell; DFT formation energy = 3.6 meV/atom
1.0
-2.892 1.708 2.028
0.868 -2.225 3.112
2.771 3.883 4.476
Zn Ag Zr
2 2 1
Direct
0.600 0.600 0.800
0.400 0.400 0.200
0.750 0.250 0.500
0.250 0.750 0.500
0.000 0.000 0.000


PBE Zr2Zn16Ag, optimized geometry; uncorrected energy = -0.0829 hartree per atom; Fermi-level density of states = 5.26 states/eV/cell; DFT formation energy = -132.6 meV/atom
1.0
-0.159 3.281 5.836
-5.348 -3.099 2.579
3.314 -4.548 3.630
Zn Zr Ag
16 2 1
Direct
0.001 0.001 0.497
0.999 0.697 0.302
0.835 0.356 0.356
0.356 0.835 0.356
0.356 0.356 0.835
0.001 0.497 0.001
0.302 0.697 0.999
0.497 0.001 0.001
0.302 0.999 0.697
0.697 0.999 0.302
0.644 0.162 0.644
0.162 0.644 0.644
0.697 0.302 0.999
0.108 0.108 0.108
0.999 0.302 0.697
0.644 0.644 0.162
0.336 0.336 0.336
0.661 0.661 0.661
0.901 0.901 0.901